! K5H3S5O14 GGA-PBEsol optimized geometry; values from VASP
! VASP energy = -5.607 eV per atom
! M_tot = 0.000 μB/f.u.
! DOS(E_F) = 0.0 states/eV per cell
! Theoretical density = 2.3 Mg/m³
&SYSTEM
  ibrav = 0, nat = 54, ntyp = 4
/
ATOMIC_SPECIES
O 16.00 O.upf
S 32.06 S.upf
K 39.10 K.upf
H 1.01 H.upf
CELL_PARAMETERS angstrom
-0.5156 -5.3745 -2.4570
4.5912 -1.4882 9.4525
-14.4468 0.1331 2.7407
ATOMIC_POSITIONS crystal
O 0.2738 0.9627 0.1723
O 0.7987 0.5975 0.9882
O 0.1006 0.7916 0.4587
O 0.3091 0.2084 0.5413
O 0.6909 0.7916 0.4587
O 0.4720 0.9440 0.3133
O 0.5346 0.6535 0.2052
O 0.1189 0.6535 0.2052
O 0.8934 0.3754 0.3009
O 0.2808 0.5616 0.5488
O 0.0651 0.1301 0.3914
O 0.9043 0.2202 0.0552
O 0.7262 0.0373 0.8277
O 0.3111 0.0373 0.8277
O 0.2013 0.4025 0.0118
O 0.5280 0.0560 0.6867
O 0.4821 0.3754 0.3009
O 0.0957 0.7798 0.9448
O 0.1066 0.6246 0.6991
O 0.4654 0.3465 0.7948
O 0.3159 0.2202 0.0552
O 0.6841 0.7798 0.9448
O 0.8994 0.2084 0.5413
O 0.5179 0.6246 0.6991
O 0.8811 0.3465 0.7948
O 0.6889 0.9627 0.1723
O 0.7192 0.4384 0.4512
O 0.9349 0.8699 0.6086
S 0.6794 0.3588 0.3523
S 0.3206 0.6412 0.6477
S 0.3409 0.6817 0.1552
S 0.4568 0.9136 0.2091
S 0.8898 0.7795 0.5124
S 0.5432 0.0864 0.7909
S 0.1299 0.2597 0.0132
S 0.1102 0.2205 0.4876
S 0.6591 0.3183 0.8448
S 0.8701 0.7403 0.9868
K 0.2773 0.5545 0.8836
K 0.5000 0.0000 0.5000
K 0.7049 0.4097 0.6328
K 0.7227 0.4455 0.1164
K 0.0728 0.1456 0.6988
K 0.2951 0.5903 0.3672
K 0.9272 0.8544 0.3012
K 0.0877 0.1753 0.2163
K 0.9123 0.8247 0.7837
K 0.5000 0.0000 0.0000
H 0.8242 0.6483 0.5190
H 0.6124 0.2249 0.3540
H 0.1758 0.3517 0.4810
H 0.9086 0.8172 0.0787
H 0.0914 0.1828 0.9213
H 0.3876 0.7751 0.6460